(1)
Computed, not measured: a relaxed structure of Zr2AlZnCo2Ir2 at the PBE level of DFT.

Output
Total moment in μB/atom: 0.127
Final energy in eV for the cell shown: -58.7

a = 4.418 Å, b = 4.418 Å, c = 6.224 Å
α = 90.00°, β = 90.00°, γ = 90.00°
Fractional coordinates of all 8 atoms:
Zr1 0.000 0.000 0.000
Zr2 0.500 0.500 0.500
Al1 0.000 0.000 0.500
Zn1 0.500 0.500 0.000
Co1 0.000 0.500 0.252
Co2 0.500 0.000 0.748
Ir1 0.000 0.500 0.744
Ir2 0.500 0.000 0.256


(2)
Computed, not measured: a relaxed structure of Zr3Al2ZnCoIr2 at the PBE level of DFT.

Output
Total moment in μB/atom: 0.000
Final energy in eV for the cell shown: -65.5

a = 3.507 Å, b = 7.054 Å, c = 7.054 Å
α = 119.39°, β = 90.00°, γ = 90.00°
Fractional coordinates of all 9 atoms:
Zr1 0.000 0.000 0.000
Zr2 0.000 0.194 0.590
Zr3 0.000 0.590 0.194
Al1 0.500 0.597 0.841
Al2 0.500 0.841 0.597
Zn1 0.500 0.344 0.344
Co1 0.000 0.602 0.602
Ir1 0.500 0.259 0.920
Ir2 0.500 0.920 0.259


(3)
Computed, not measured: a relaxed structure of KAlCo at the PBE level of DFT.

Output
Energy relative to the lowest polymorph listed for this composition in meV/atom: 0
Total moment in μB/atom: 0.238
Final energy in eV for the cell shown: -9.0

a = 4.604 Å, b = 4.604 Å, c = 4.604 Å
α = 60.00°, β = 60.00°, γ = 60.00°
Fractional coordinates of all 3 atoms:
K1 0.000 0.000 0.000
Al1 0.500 0.500 0.500
Co1 0.750 0.750 0.750


(4)
Computed, not measured: a relaxed structure of KAlCoTe3 at the PBE level of DFT.

Output
Total moment in μB/atom: 0.000
Final energy in eV for the cell shown: -95.5

a = 15.358 Å, b = 4.073 Å, c = 11.667 Å
α = 90.00°, β = 90.00°, γ = 90.00°
Fractional coordinates of all 24 atoms:
K1 0.214 0.250 0.035
K2 0.286 0.750 0.535
K3 0.714 0.250 0.465
K4 0.786 0.750 0.965
Al1 0.012 0.250 0.364
Al2 0.488 0.750 0.864
Al3 0.512 0.250 0.136
Al4 0.988 0.750 0.636
Co1 0.016 0.750 0.071
Co2 0.484 0.250 0.571
Co3 0.516 0.750 0.429
Co4 0.984 0.250 0.929
Te1 0.062 0.750 0.866
Te2 0.103 0.250 0.564
Te3 0.106 0.750 0.249
Te4 0.394 0.250 0.749
Te5 0.397 0.750 0.064
Te6 0.438 0.250 0.366
Te7 0.562 0.750 0.634
Te8 0.603 0.250 0.936
Te9 0.606 0.750 0.251
Te10 0.894 0.250 0.751
Te11 0.897 0.750 0.436
Te12 0.938 0.250 0.134